[1]
Entry from Alexandria via LeMat-Bulk: a relaxed structure of TlZnF3 (PBE).

abc: 3.703 3.703 6.736
angles: 90.00 90.00 90.00
Sites, in units of the cell vectors:
Tl1 0.000 0.000 0.119
Zn1 0.500 0.500 0.541
F1 0.000 0.000 0.759
F2 0.500 0.000 0.423
F3 0.000 0.500 0.423

## Properties
* formation energy (no corrections): -1.7335 eV per atom

[2]
Entry from Alexandria via LeMat-Bulk: a relaxed structure of LaTb5Pm5 (PBE).

abc: 6.180 6.180 11.725
angles: 90.00 90.00 120.00
Sites, in units of the cell vectors:
La1 0.333 0.667 0.000
Tb1 0.334 0.167 0.500
Tb2 0.000 0.000 0.266
Tb3 0.833 0.666 0.500
Tb4 0.833 0.167 0.500
Tb5 0.000 0.000 0.734
Pm1 0.667 0.333 0.159
Pm2 0.667 0.333 0.841
Pm3 0.333 0.667 0.326
Pm4 0.333 0.667 0.674
Pm5 0.000 0.000 0.000

## Properties
* E_form: 3.14 eV per formula unit

[3]
Entry from Alexandria via LeMat-Bulk: a relaxed structure of BaIn2Au5 (PBE).

abc: 4.497 7.298 7.298
angles: 59.84 72.06 72.06
Sites, in units of the cell vectors:
Ba1 0.000 0.000 0.000
In1 0.760 0.740 0.740
In2 0.240 0.260 0.260
Au1 0.000 0.500 0.500
Au2 0.625 0.570 0.181
Au3 0.375 0.430 0.819
Au4 0.375 0.819 0.430
Au5 0.625 0.181 0.570

## Properties
* E_form: -3.05 eV per formula unit

[4]
Entry from Alexandria via LeMat-Bulk: a relaxed structure of PmPrLuAg (PBE).

abc: 5.455 5.455 5.455
angles: 60.00 60.00 60.00
Each line ends with the local moment (μB).
Sites, in units of the cell vectors:
Pr1 0.500 0.500 0.500  0.12
Lu1 0.000 0.000 0.000  0.17
Ag1 0.250 0.250 0.250  0.01
Pm1 0.750 0.750 0.750  0.25

## Properties
* E_form: 0.47 eV per formula unit

no.,V (Å³ per atom)
1,18.5
2,35.3
3,24.2
4,28.7